Entry 1:
# PBE TcOsRh, optimized geometry
data_TcOsRh
_symmetry_space_group_name_H-M 'P 3 m 1'
_symmetry_Int_Tables_number 156
_symmetry_space_group_name_Hall 'P 3 -2"'
_cell_length_a 2.7276
_cell_length_b 2.7276
_cell_length_c 6.6964
_cell_angle_alpha 90.00
_cell_angle_beta 90.00
_cell_angle_gamma 120.00
loop_
_atom_site_label
_atom_site_fract_x
_atom_site_fract_y
_atom_site_fract_z
_atom_site_occupancy
Tc1 0.0000 0.0000 0.0000 1
Os1 0.6667 0.3333 0.3195 1
Rh1 0.3333 0.6667 0.6618 1
# Formation energy ... 0.01 eV/atom
# Total energy ... -28.9 eV per cell
# Energy above the lowest structure with this stoichiometry ... 119 meV/atom
# Spin magnetization ... 0.000 μB/cell

=====

Entry 2:
# PBE MgSiRu, optimized geometry
data_MgSiRu
_symmetry_space_group_name_H-M 'P -6 m 2'
_symmetry_Int_Tables_number 187
_symmetry_space_group_name_Hall 'P -6 2'
_cell_length_a 4.0972
_cell_length_b 4.0972
_cell_length_c 3.2067
_cell_angle_alpha 90.00
_cell_angle_beta 90.00
_cell_angle_gamma 120.00
loop_
_atom_site_label
_atom_site_fract_x
_atom_site_fract_y
_atom_site_fract_z
_atom_site_occupancy
Mg1 0.0000 0.0000 0.0000 1
Si1 0.3333 0.6667 0.5000 1
Ru1 0.6667 0.3333 0.5000 1
# Total energy ... -17.3 eV per cell
# Spin magnetization ... 0.000 μB/cell

=====

Entry 3:
# PBE BaCd2Pb, optimized geometry
data_BaCd2Pb
_symmetry_space_group_name_H-M 'P 1 21/m 1'
_symmetry_Int_Tables_number 11
_symmetry_space_group_name_Hall '-P 2yb'
_cell_length_a 5.044
_cell_length_b 8.408
_cell_length_c 7.098
_cell_angle_alpha 90.00
_cell_angle_beta 110.79
_cell_angle_gamma 90.00
loop_
_atom_site_label
_atom_site_fract_x
_atom_site_fract_y
_atom_site_fract_z
_atom_site_occupancy
Ba1 0.067 0.250 0.132 1
Cd1 0.263 0.585 0.527 1
Pb1 0.371 0.250 0.742 1
# Formation energy ... -0.19 eV/atom
# Total energy ... -16.5 eV per cell
# Spin magnetization ... 0.000 μB/cell

=====

Entry 4:
# PBE Li2CaMg, optimized geometry
data_Li2CaMg
_symmetry_space_group_name_H-M 'F -4 3 m'
_symmetry_Int_Tables_number 216
_symmetry_space_group_name_Hall 'F -4 2 3'
_cell_length_a 7.525
_cell_length_b 7.525
_cell_length_c 7.525
_cell_angle_alpha 90.00
_cell_angle_beta 90.00
_cell_angle_gamma 90.00
loop_
_atom_site_label
_atom_site_fract_x
_atom_site_fract_y
_atom_site_fract_z
_atom_site_occupancy
Li1 0.000 0.000 0.000 1
Li2 0.250 0.250 0.250 1
Ca1 0.000 0.000 0.500 1
Mg1 0.250 0.250 0.750 1
# Formation energy ... 0.03 eV/atom
# Total energy ... -29.1 eV per cell
# Spin magnetization ... 0.000 μB/cell

=====

Entry 5:
# PBE SiTc2Pb, optimized geometry
data_SiTc2Pb
_symmetry_space_group_name_H-M 'C m m m'
_symmetry_Int_Tables_number 65
_symmetry_space_group_name_Hall '-C 2 2'
_cell_length_a 3.271
_cell_length_b 5.057
_cell_length_c 8.276
_cell_angle_alpha 90.00
_cell_angle_beta 90.00
_cell_angle_gamma 90.00
loop_
_atom_site_label
_atom_site_fract_x
_atom_site_fract_y
_atom_site_fract_z
_atom_site_occupancy
Si1 0.000 0.000 0.000 1
Tc1 0.000 0.500 0.209 1
Pb1 0.000 0.000 0.500 1
# Total energy ... -56.7 eV per cell
# Energy above the lowest structure with this stoichiometry ... 208 meV/atom
# Spin magnetization ... 0.001 μB/cell

=====

Entry 6:
# PBE NdVSb3, optimized geometry
data_NdVSb3
_symmetry_space_group_name_H-M 'P b c m'
_symmetry_Int_Tables_number 57
_symmetry_space_group_name_Hall '-P 2c 2b'
_cell_length_a 10.279
_cell_length_b 7.936
_cell_length_c 6.213
_cell_angle_alpha 90.00
_cell_angle_beta 90.00
_cell_angle_gamma 90.00
loop_
_atom_site_label
_atom_site_fract_x
_atom_site_fract_y
_atom_site_fract_z
_atom_site_occupancy
Nd1 0.246 0.087 0.250 1
V1 0.047 0.750 0.000 1
Sb1 0.090 0.035 0.750 1
Sb2 0.312 0.750 0.000 1
Sb3 0.420 0.067 0.750 1
# Total energy ... -110.9 eV per cell
# Energy above the lowest structure with this stoichiometry ... 247 meV/atom
# Spin magnetization ... 6.690 μB/cell

=====

Entry 7:
# PBE Na2AsCl, optimized geometry
data_Na2AsCl
_symmetry_space_group_name_H-M 'F m -3 m'
_symmetry_Int_Tables_number 225
_symmetry_space_group_name_Hall '-F 4 2 3'
_cell_length_a 7.331
_cell_length_b 7.331
_cell_length_c 7.331
_cell_angle_alpha 90.00
_cell_angle_beta 90.00
_cell_angle_gamma 90.00
loop_
_atom_site_label
_atom_site_fract_x
_atom_site_fract_y
_atom_site_fract_z
_atom_site_occupancy
Na1 0.250 0.250 0.250 1
As1 0.000 0.000 0.000 1
Cl1 0.000 0.000 0.500 1
# Total energy ... -44.2 eV per cell
# Spin magnetization ... 8.000 μB/cell

=====

Entry 8:
# PBE NdHo2Sb, optimized geometry
data_NdHo2Sb
_symmetry_space_group_name_H-M 'C m c m'
_symmetry_Int_Tables_number 63
_symmetry_space_group_name_Hall '-C 2c 2'
_cell_length_a 4.130
_cell_length_b 12.351
_cell_length_c 9.592
_cell_angle_alpha 90.00
_cell_angle_beta 90.00
_cell_angle_gamma 90.00
loop_
_atom_site_label
_atom_site_fract_x
_atom_site_fract_y
_atom_site_fract_z
_atom_site_occupancy
Nd1 0.000 0.056 0.250 1
Ho1 0.000 0.362 0.042 1
Sb1 0.000 0.237 0.750 1
# Total energy ... -81.1 eV per cell
# Energy above the lowest structure with this stoichiometry ... 0 meV/atom
# Spin magnetization ... 2.816 μB/cell

=====

spin magnetization of number 1 (TcOsRh)? 0.000 μB/cell